No. 1
VASP calculation (PBE) on an optimized crystal structure of NbP2Cl.

- Distance to the lowest polymorph of the same formula: 214 meV/atom
- Total moment: 0.0 Bohr magnetons per cell

Unit cell a=4.537 b=4.537 c=4.537 alpha=60.00 beta=60.00 gamma=60.00
Fractional coordinates of all 4 atoms:
Nb (0.000, 0.000, 0.000)
P (0.250, 0.250, 0.250)
P (0.750, 0.750, 0.750)
Cl (0.500, 0.500, 0.500)

---

No. 2
VASP calculation (PBE) on an optimized crystal structure of Be2TeCF.

- Calculated total energy: -21.19 eV per formula unit
- Total moment: 0.0 Bohr magnetons per cell

Unit cell a=3.396 b=3.396 c=6.931 alpha=90.00 beta=90.00 gamma=90.00
Fractional coordinates of all 5 atoms:
Be (0.000, 0.500, 0.000)
Be (0.500, 0.000, 0.000)
Te (0.000, 0.000, 0.500)
C (0.500, 0.500, 0.000)
F (0.500, 0.500, 0.500)

---

No. 3
VASP calculation (PBE) on an optimized crystal structure of TmPu2As3Rh4.

- Calculated total energy: -84.33 eV per formula unit
- Total moment: 10.7 Bohr magnetons per cell

Unit cell a=4.065 b=4.065 c=11.509 alpha=90.00 beta=90.00 gamma=90.00
Fractional coordinates of all 10 atoms:
Tm (0.000, 0.000, 0.000)
Pu (0.000, 0.500, 0.732)
Pu (0.500, 0.000, 0.268)
As (0.000, 0.500, 0.373)
As (0.500, 0.000, 0.627)
As (0.500, 0.500, 0.000)
Rh (0.000, 0.000, 0.500)
Rh (0.000, 0.500, 0.161)
Rh (0.500, 0.000, 0.839)
Rh (0.500, 0.500, 0.500)

---

No. 4
VASP calculation (PBE) on an optimized crystal structure of NbHgS2.

- Calculated total energy: -20.35 eV per formula unit
- Total moment: 0.0 Bohr magnetons per cell

Unit cell a=6.923 b=5.818 c=12.231 alpha=90.00 beta=122.08 gamma=90.00
Fractional coordinates of all 16 atoms:
Nb (0.000, 0.002, 0.250)
Nb (0.000, 0.498, 0.750)
Nb (0.000, 0.502, 0.250)
Nb (0.000, 0.998, 0.750)
Hg (0.137, 0.248, 0.988)
Hg (0.137, 0.252, 0.488)
Hg (0.863, 0.748, 0.512)
Hg (0.863, 0.752, 0.012)
S (0.267, 0.247, 0.727)
S (0.267, 0.253, 0.227)
S (0.313, 0.748, 0.893)
S (0.313, 0.752, 0.393)
S (0.687, 0.248, 0.607)
S (0.687, 0.252, 0.107)
S (0.733, 0.747, 0.773)
S (0.733, 0.753, 0.273)

---

No. 5
VASP calculation (PBE) on an optimized crystal structure of Tm6Ni2Rh.

- Distance to the lowest polymorph of the same formula: 0 meV/atom
- Total moment: 0.0 Bohr magnetons per cell

Unit cell a=8.082 b=8.082 c=8.082 alpha=109.97 beta=109.37 gamma=109.08
Fractional coordinates of all 18 atoms:
Tm (0.019, 0.827, 0.192)
Tm (0.257, 0.570, 0.314)
Tm (0.257, 0.943, 0.686)
Tm (0.262, 0.324, 0.586)
Tm (0.262, 0.676, 0.938)
Tm (0.365, 0.173, 0.192)
Tm (0.635, 0.827, 0.808)
Tm (0.738, 0.324, 0.062)
Tm (0.738, 0.676, 0.414)
Tm (0.743, 0.057, 0.314)
Tm (0.743, 0.430, 0.686)
Tm (0.981, 0.173, 0.808)
Ni (0.000, 0.160, 0.160)
Ni (0.000, 0.840, 0.840)
Ni (0.379, 0.379, 0.000)
Ni (0.621, 0.621, 0.000)
Rh (0.000, 0.500, 0.500)
Rh (0.500, 0.000, 0.500)

---

No. 6
VASP calculation (PBE) on an optimized crystal structure of PaRuRhAu.

- Distance to the lowest polymorph of the same formula: 0 meV/atom
- Total moment: 0.0 Bohr magnetons per cell

Unit cell a=3.830 b=4.221 c=4.348 alpha=90.00 beta=90.00 gamma=90.00
Fractional coordinates of all 4 atoms:
Pa (0.000, 0.000, 0.000)
Ru (0.500, 0.500, 0.000)
Rh (0.500, 0.000, 0.500)
Au (0.000, 0.500, 0.500)

---

No. 7
VASP calculation (PBE) on an optimized crystal structure of LaTb2PrHo2.

- Calculated total energy: -26.49 eV per formula unit
- Total moment: 0.0 Bohr magnetons per cell

Unit cell a=6.607 b=18.089 c=3.415 alpha=90.00 beta=90.00 gamma=90.00
Fractional coordinates of all 12 atoms:
La (0.000, 0.000, 0.000)
La (0.500, 0.500, 0.500)
Tb (0.221, 0.187, 0.000)
Tb (0.279, 0.687, 0.500)
Tb (0.721, 0.313, 0.500)
Tb (0.779, 0.813, 0.000)
Pr (0.000, 0.500, 0.000)
Pr (0.500, 0.000, 0.500)
Ho (0.219, 0.350, 0.500)
Ho (0.281, 0.850, 0.000)
Ho (0.719, 0.150, 0.000)
Ho (0.781, 0.650, 0.500)

---

No. 8
VASP calculation (PBE) on an optimized crystal structure of BSbC3.

- Distance to the lowest polymorph of the same formula: 0 meV/atom
- Total moment: 0.0 Bohr magnetons per cell

Unit cell a=3.653 b=3.653 c=3.653 alpha=90.00 beta=90.00 gamma=90.00
Fractional coordinates of all 5 atoms:
B (0.000, 0.000, 0.000)
Sb (0.500, 0.500, 0.500)
C (0.000, 0.000, 0.500)
C (0.000, 0.500, 0.000)
C (0.500, 0.000, 0.000)

---

No. 9
VASP calculation (PBE) on an optimized crystal structure of ScBCl2.

- Distance to the lowest polymorph of the same formula: 600 meV/atom
- Total moment: 0.0 Bohr magnetons per cell

Unit cell a=8.244 b=8.244 c=8.244 alpha=25.23 beta=25.23 gamma=25.23
Fractional coordinates of all 4 atoms:
Sc (0.000, 0.000, 0.000)
B (0.500, 0.500, 0.500)
Cl (0.103, 0.103, 0.103)
Cl (0.897, 0.897, 0.897)

---

No. 10
VASP calculation (PBE) on an optimized crystal structure of La6PrHo2Tm.

- Calculated total energy: -46.92 eV per formula unit
- Total moment: 0.0 Bohr magnetons per cell

Unit cell a=9.020 b=9.020 c=9.847 alpha=94.32 beta=94.32 gamma=117.14
Fractional coordinates of all 20 atoms:
La (0.003, 0.561, 0.192)
La (0.109, 0.756, 0.552)
La (0.244, 0.891, 0.948)
La (0.298, 0.510, 0.381)
La (0.439, 0.997, 0.308)
La (0.490, 0.702, 0.119)
La (0.510, 0.298, 0.881)
La (0.561, 0.003, 0.692)
La (0.702, 0.490, 0.619)
La (0.756, 0.109, 0.052)
La (0.891, 0.244, 0.448)
La (0.997, 0.439, 0.808)
Pr (0.024, 0.976, 0.250)
Pr (0.976, 0.024, 0.750)
Ho (0.200, 0.294, 0.047)
Ho (0.294, 0.200, 0.547)
Ho (0.706, 0.800, 0.453)
Ho (0.800, 0.706, 0.953)
Tm (0.411, 0.589, 0.750)
Tm (0.589, 0.411, 0.250)

---

No. 11
VASP calculation (PBE) on an optimized crystal structure of Li2Nd2YTl2.

- Calculated total energy: -25.98 eV per formula unit
- Total moment: 0.0 Bohr magnetons per cell

Unit cell a=9.597 b=9.597 c=9.597 alpha=29.32 beta=29.32 gamma=29.32
Fractional coordinates of all 7 atoms:
Li (0.109, 0.109, 0.109)
Li (0.891, 0.891, 0.891)
Nd (0.373, 0.373, 0.373)
Nd (0.627, 0.627, 0.627)
Y (0.500, 0.500, 0.500)
Tl (0.234, 0.234, 0.234)
Tl (0.766, 0.766, 0.766)

---

No. 12
VASP calculation (PBE) on an optimized crystal structure of ZrGa2H2.

- Calculated total energy: -21.98 eV per formula unit
- Total moment: 0.0 Bohr magnetons per cell

Unit cell a=5.725 b=5.725 c=3.978 alpha=90.00 beta=90.00 gamma=90.00
Fractional coordinates of all 10 atoms:
Zr (0.000, 0.000, 0.000)
Zr (0.500, 0.500, 0.000)
Ga (0.218, 0.282, 0.500)
Ga (0.282, 0.782, 0.500)
Ga (0.718, 0.218, 0.500)
Ga (0.782, 0.718, 0.500)
H (0.182, 0.682, 0.000)
H (0.318, 0.182, 0.000)
H (0.682, 0.818, 0.000)
H (0.818, 0.318, 0.000)

---

No. 13
VASP calculation (PBE) on an optimized crystal structure of Pm4TlHgN.

- Calculated total energy: -34.49 eV per formula unit
- Total moment: 0.0 Bohr magnetons per cell

Unit cell a=8.433 b=8.433 c=7.091 alpha=90.00 beta=90.00 gamma=130.29
Fractional coordinates of all 14 atoms:
Pm (0.000, 0.500, 0.000)
Pm (0.000, 0.500, 0.500)
Pm (0.080, 0.920, 0.750)
Pm (0.414, 0.586, 0.750)
Pm (0.500, 0.000, 0.000)
Pm (0.500, 0.000, 0.500)
Pm (0.586, 0.414, 0.250)
Pm (0.920, 0.080, 0.250)
Tl (0.382, 0.618, 0.250)
Tl (0.618, 0.382, 0.750)
Hg (0.120, 0.880, 0.250)
Hg (0.880, 0.120, 0.750)
N (0.250, 0.750, 0.750)
N (0.750, 0.250, 0.250)

---

No. 14
VASP calculation (PBE) on an optimized crystal structure of Pm5Sm3Er2.

- Calculated total energy: -45.22 eV per formula unit
- Total moment: 0.0 Bohr magnetons per cell

Unit cell a=9.233 b=9.233 c=9.982 alpha=108.35 beta=108.35 gamma=108.49
Fractional coordinates of all 20 atoms:
Pm (0.021, 0.979, 0.750)
Pm (0.135, 0.384, 0.764)
Pm (0.272, 0.728, 0.250)
Pm (0.384, 0.135, 0.264)
Pm (0.477, 0.523, 0.250)
Pm (0.523, 0.477, 0.750)
Pm (0.616, 0.865, 0.736)
Pm (0.728, 0.272, 0.750)
Pm (0.865, 0.616, 0.236)
Pm (0.979, 0.021, 0.250)
Sm (0.023, 0.275, 0.055)
Sm (0.229, 0.771, 0.750)
Sm (0.275, 0.023, 0.555)
Sm (0.725, 0.977, 0.445)
Sm (0.771, 0.229, 0.250)
Sm (0.977, 0.725, 0.945)
Er (0.219, 0.469, 0.445)
Er (0.469, 0.219, 0.945)
Er (0.531, 0.781, 0.055)
Er (0.781, 0.531, 0.555)

---

No. 15
VASP calculation (PBE) on an optimized crystal structure of AlHgGe2S6.

- Calculated total energy: -40.95 eV per formula unit
- Total moment: 0.0 Bohr magnetons per cell

Unit cell a=9.134 b=9.134 c=6.597 alpha=104.28 beta=104.28 gamma=90.44
Fractional coordinates of all 20 atoms:
Al (0.208, 0.792, 0.750)
Al (0.792, 0.208, 0.250)
Hg (0.107, 0.893, 0.250)
Hg (0.893, 0.107, 0.750)
Ge (0.227, 0.387, 0.330)
Ge (0.387, 0.227, 0.830)
Ge (0.613, 0.773, 0.170)
Ge (0.773, 0.613, 0.670)
S (0.023, 0.207, 0.160)
S (0.149, 0.626, 0.420)
S (0.207, 0.023, 0.660)
S (0.305, 0.427, 0.041)
S (0.374, 0.851, 0.080)
S (0.427, 0.305, 0.541)
S (0.573, 0.695, 0.459)
S (0.626, 0.149, 0.920)
S (0.695, 0.573, 0.959)
S (0.793, 0.977, 0.340)
S (0.851, 0.374, 0.580)
S (0.977, 0.793, 0.840)

---

No. 16
VASP calculation (PBE) on an optimized crystal structure of Li2TbPr2Pb2.

- Calculated total energy: -27.82 eV per formula unit
- Total moment: 0.0 Bohr magnetons per cell

Unit cell a=9.760 b=9.760 c=9.760 alpha=28.88 beta=28.88 gamma=28.88
Fractional coordinates of all 7 atoms:
Li (0.105, 0.105, 0.105)
Li (0.895, 0.895, 0.895)
Tb (0.500, 0.500, 0.500)
Pr (0.372, 0.372, 0.372)
Pr (0.628, 0.628, 0.628)
Pb (0.232, 0.232, 0.232)
Pb (0.768, 0.768, 0.768)

---

No. 17
VASP calculation (PBE) on an optimized crystal structure of PmNdHoPb.

- Calculated total energy: -18.39 eV per formula unit
- Total moment: 0.0 Bohr magnetons per cell

Unit cell a=5.579 b=5.579 c=5.579 alpha=60.00 beta=60.00 gamma=60.00
Fractional coordinates of all 4 atoms:
Pm (0.000, 0.000, 0.000)
Nd (0.500, 0.500, 0.500)
Ho (0.250, 0.250, 0.250)
Pb (0.750, 0.750, 0.750)

---

No. 18
VASP calculation (PBE) on an optimized crystal structure of La4TlBi2.

- Calculated total energy: -31.71 eV per formula unit
- Total moment: 0.0 Bohr magnetons per cell

Unit cell a=9.506 b=9.506 c=9.506 alpha=144.17 beta=144.17 gamma=51.57
Fractional coordinates of all 7 atoms:
La (0.000, 0.500, 0.500)
La (0.183, 0.183, 0.000)
La (0.500, 0.000, 0.500)
La (0.817, 0.817, 0.000)
Tl (0.000, 0.000, 0.000)
Bi (0.371, 0.371, 0.000)
Bi (0.629, 0.629, 0.000)

---

No. 19
VASP calculation (PBE) on an optimized crystal structure of TlSn3Te3.

- Distance to the lowest polymorph of the same formula: 0 meV/atom
- Total moment: 0.0 Bohr magnetons per cell

Unit cell a=8.745 b=6.355 c=8.767 alpha=90.00 beta=92.57 gamma=90.00
Fractional coordinates of all 14 atoms:
Tl (0.033, 0.250, 0.467)
Tl (0.967, 0.750, 0.533)
Sn (0.113, 0.750, 0.881)
Sn (0.370, 0.250, 0.129)
Sn (0.382, 0.250, 0.614)
Sn (0.618, 0.750, 0.386)
Sn (0.630, 0.750, 0.871)
Sn (0.887, 0.250, 0.119)
Te (0.111, 0.250, 0.860)
Te (0.360, 0.750, 0.612)
Te (0.393, 0.750, 0.107)
Te (0.607, 0.250, 0.893)
Te (0.640, 0.250, 0.388)
Te (0.889, 0.750, 0.140)

---

No. 20
VASP calculation (PBE) on an optimized crystal structure of CsBWSe6.

- Calculated total energy: -44.64 eV per formula unit
- Total moment: 0.0 Bohr magnetons per cell

Unit cell a=5.433 b=6.485 c=8.495 alpha=89.59 beta=86.81 gamma=67.25
Fractional coordinates of all 9 atoms:
Cs (0.000, 0.000, 0.000)
B (0.441, 0.058, 0.524)
W (0.728, 0.529, 0.468)
Se (0.037, 0.485, 0.256)
Se (0.136, 0.301, 0.655)
Se (0.342, 0.860, 0.374)
Se (0.409, 0.515, 0.719)
Se (0.647, 0.206, 0.380)
Se (0.697, 0.832, 0.671)